Computed, not measured: a relaxed structure of MnCoB2O5 at the PBE with a Hubbard U level of DFT.

## Properties
Final energy in eV/cell: -137.04
Crystal system: triclinic
Calculated volume in A^3/atom: 10.42

```
data_MnCoB2O5
_cell_length_a 3.266
_cell_length_b 6.273
_cell_length_c 9.465
_cell_angle_alpha 104.60
_cell_angle_beta 90.44
_cell_angle_gamma 91.53
_symmetry_space_group_name_H-M 'P -1'
_symmetry_Int_Tables_number 2
_symmetry_space_group_name_Hall '-P 1'
loop_
_atom_site_label
_atom_site_fract_x
_atom_site_fract_y
_atom_site_fract_z
Mn1 0.247 0.218 0.362
Co1 0.267 0.628 0.902
B1 0.172 0.119 0.833
B2 0.182 0.680 0.346
O1 0.043 0.859 0.294
O2 0.225 0.478 0.249
O3 0.243 0.302 0.947
O4 0.256 0.718 0.492
O5 0.285 0.908 0.821
```